# 1
Material: Th5AgSe4
Method: DFT, PBE-GGA
State: relaxed

Geometry as extended XYZ:
```
10
Lattice="7.144 -2.082 0.000 7.144 2.082 0.000 -5.260 0.000 9.082" Properties=species:S:1:pos:R:3 pbc="T T T"
Th 0.000 0.000 0.000
Th -1.393 0.000 7.336
Th 2.482 0.000 5.430
Th 6.545 0.000 3.652
Th 10.420 0.000 1.746
Ag -2.630 0.000 4.541
Se 1.326 0.000 2.669
Se 5.243 0.000 0.937
Se 3.783 0.000 8.145
Se 7.701 0.000 6.413
```

Computed properties:
- ΔE_f (raw) (eV/f.u.) = -11.98
- total magnetization (μB per atom) = 0.0000
- VASP energy (eV per atom) = -6.59

# 2
Material: ThAgSe
Method: DFT, PBE-GGA
State: relaxed

Geometry as extended XYZ:
```
6
Lattice="2.362 1.364 8.906 -2.362 1.364 8.906 0.000 -2.728 8.906" Properties=species:S:1:pos:R:3 pbc="T T T"
Th 0.000 0.000 6.499
Th 0.000 0.000 20.217
Ag 0.000 0.000 9.619
Ag 0.000 0.000 17.098
Se 0.000 0.000 3.410
Se 0.000 0.000 23.307
```

Computed properties:
- ΔE_f (raw) (eV/f.u.) = -2.07
- total magnetization (μB per atom) = 0.0000
- VASP energy (eV per atom) = -5.27

# 3
Material: ThTl2Ag2Se4
Method: DFT, PBE-GGA
State: relaxed

Geometry as extended XYZ:
```
9
Lattice="7.781 -2.167 0.000 7.781 2.167 0.000 -2.877 0.000 7.531" Properties=species:S:1:pos:R:3 pbc="T T T"
Th 0.000 0.000 0.000
Tl 0.486 0.000 4.353
Tl 12.200 0.000 3.178
Ag 4.917 0.000 0.082
Ag 7.769 0.000 7.449
Se 2.513 0.000 1.547
Se 6.942 0.000 1.815
Se 5.744 0.000 5.716
Se 10.173 0.000 5.984
```

Computed properties:
- ΔE_f (raw) (eV/f.u.) = -7.14
- total magnetization (μB per atom) = 0.0000
- VASP energy (eV per atom) = -4.33